# 1
# AlSbRh4 PBEsol relaxed
data_AlSbRh4
_chemical_formula_sum 'Al1 Sb1 Rh4'
_cell_length_a 5.1251
_cell_length_b 5.1251
_cell_length_c 5.1251
_cell_angle_alpha 60.00
_cell_angle_beta 60.00
_cell_angle_gamma 60.00
_space_group_name_H-M_alt 'P 1'
_space_group_IT_number 1
loop_
_space_group_symop_operation_xyz
'x,y,z'
loop_
_atom_site_label
_atom_site_type_symbol
_atom_site_fract_x
_atom_site_fract_y
_atom_site_fract_z
Al1 Al 0.0000 0.0000 0.0000
Sb1 Sb 0.2500 0.2500 0.2500
Rh1 Rh 0.1246 0.6251 0.6251
Rh2 Rh 0.6251 0.1246 0.6251
Rh3 Rh 0.6251 0.6251 0.1246
Rh4 Rh 0.6251 0.6251 0.6251
# Fermi-level density of states ... 0.7120 states/eV/atom
# Symmetry ... F-43m, No. 216
# Total magnetization ... 0.001 μB/f.u.
# Raw formation energy ... 1.0 kcal/mol of atoms

***

# 2
# Cr3Co PBEsol relaxed
data_Cr3Co
_chemical_formula_sum 'Cr3 Co1'
_cell_length_a 4.6543
_cell_length_b 4.6543
_cell_length_c 4.6543
_cell_angle_alpha 117.12
_cell_angle_beta 117.12
_cell_angle_gamma 117.12
_space_group_name_H-M_alt 'P 1'
_space_group_IT_number 1
loop_
_space_group_symop_operation_xyz
'x,y,z'
loop_
_atom_site_label
_atom_site_type_symbol
_atom_site_fract_x
_atom_site_fract_y
_atom_site_fract_z
Cr1 Cr 0.0000 0.5000 0.5000
Cr2 Cr 0.5000 0.0000 0.5000
Cr3 Cr 0.5000 0.5000 0.0000
Co1 Co 0.0000 0.0000 0.0000
# Fermi-level density of states ... 1.3546 states/eV/atom
# Symmetry ... R-3m, No. 166
# ΔE_f ... 46 kJ/mol of formula units
# Total magnetization ... 1.598 μB/f.u.

***

# 3
# ZrICl2 PBEsol relaxed
data_ZrICl2
_chemical_formula_sum 'Zr1 I1 Cl2'
_cell_length_a 11.8719
_cell_length_b 11.8719
_cell_length_c 11.8719
_cell_angle_alpha 16.50
_cell_angle_beta 16.50
_cell_angle_gamma 16.50
_space_group_name_H-M_alt 'P 1'
_space_group_IT_number 1
loop_
_space_group_symop_operation_xyz
'x,y,z'
loop_
_atom_site_label
_atom_site_type_symbol
_atom_site_fract_x
_atom_site_fract_y
_atom_site_fract_z
Zr1 Zr 0.0000 0.0000 0.0000
I1 I 0.5000 0.5000 0.5000
Cl1 Cl 0.0659 0.0659 0.0659
Cl2 Cl 0.9341 0.9341 0.9341
# Fermi-level density of states ... 0.4649 states/eV/atom
# Symmetry ... R-3m, No. 166
# Total magnetization ... 0.001 μB/f.u.
# Raw formation energy ... -14.2 kcal/mol of atoms

***

# 4
# BaCaCr PBEsol relaxed
data_BaCaCr
_chemical_formula_sum 'Ba1 Ca1 Cr1'
_cell_length_a 5.5063
_cell_length_b 5.5063
_cell_length_c 5.5063
_cell_angle_alpha 60.00
_cell_angle_beta 60.00
_cell_angle_gamma 60.00
_space_group_name_H-M_alt 'P 1'
_space_group_IT_number 1
loop_
_space_group_symop_operation_xyz
'x,y,z'
loop_
_atom_site_label
_atom_site_type_symbol
_atom_site_fract_x
_atom_site_fract_y
_atom_site_fract_z
Ba1 Ba 0.0000 0.0000 0.0000
Ca1 Ca 0.2500 0.2500 0.2500
Cr1 Cr 0.5000 0.5000 0.5000
# Fermi-level density of states ... 1.2701 states/eV/atom
# Symmetry ... F-43m, No. 216
# Excess energy over the best structure of this formula in the dataset ... 0.351 eV/atom
# ΔE_f ... 320 kJ/mol of formula units
# Total magnetization ... 4.764 μB/f.u.

***

# 5
# CrSiSb2S PBEsol relaxed
data_CrSiSb2S
_chemical_formula_sum 'Cr1 Si1 Sb2 S1'
_cell_length_a 5.2374
_cell_length_b 5.2374
_cell_length_c 4.3361
_cell_angle_alpha 90.00
_cell_angle_beta 90.00
_cell_angle_gamma 90.00
_space_group_name_H-M_alt 'P 1'
_space_group_IT_number 1
loop_
_space_group_symop_operation_xyz
'x,y,z'
loop_
_atom_site_label
_atom_site_type_symbol
_atom_site_fract_x
_atom_site_fract_y
_atom_site_fract_z
Cr1 Cr 0.0000 0.0000 0.0000
Si1 Si 0.5000 0.5000 0.0000
Sb1 Sb 0.0000 0.5000 0.5000
Sb2 Sb 0.5000 0.0000 0.5000
S1 S 0.0000 0.0000 0.5000
# Fermi-level density of states ... 0.7028 states/eV/atom
# Symmetry ... P4/mmm, No. 123
# Total magnetization ... 3.704 μB/f.u.
# Raw formation energy ... 16.5 kcal/mol of atoms

***

# 6
# Mn2MoCl PBEsol relaxed
data_Mn2MoCl
_chemical_formula_sum 'Mn2 Mo1 Cl1'
_cell_length_a 3.6916
_cell_length_b 3.6916
_cell_length_c 4.0161
_cell_angle_alpha 90.00
_cell_angle_beta 90.00
_cell_angle_gamma 90.00
_space_group_name_H-M_alt 'P 1'
_space_group_IT_number 1
loop_
_space_group_symop_operation_xyz
'x,y,z'
loop_
_atom_site_label
_atom_site_type_symbol
_atom_site_fract_x
_atom_site_fract_y
_atom_site_fract_z
Mn1 Mn 0.0000 0.5000 0.0000
Mn2 Mn 0.5000 0.0000 0.0000
Mo1 Mo 0.0000 0.0000 0.5000
Cl1 Cl 0.5000 0.5000 0.5000
# Fermi-level density of states ... 0.9018 states/eV/atom
# Symmetry ... P4/mmm, No. 123
# Excess energy over the best structure of this formula in the dataset ... 0.606 eV/atom
# Total magnetization ... 4.499 μB/f.u.
# Raw formation energy ... 21.2 kcal/mol of atoms

***

# 7
# CdAgBr PBEsol relaxed
data_CdAgBr
_chemical_formula_sum 'Cd1 Ag1 Br1'
_cell_length_a 6.6570
_cell_length_b 6.3535
_cell_length_c 3.4174
_cell_angle_alpha 79.75
_cell_angle_beta 69.91
_cell_angle_gamma 30.34
_space_group_name_H-M_alt 'P 1'
_space_group_IT_number 1
loop_
_space_group_symop_operation_xyz
'x,y,z'
loop_
_atom_site_label
_atom_site_type_symbol
_atom_site_fract_x
_atom_site_fract_y
_atom_site_fract_z
Cd1 Cd 0.0000 0.0000 0.0000
Ag1 Ag 0.6556 0.6556 0.3444
Br1 Br 0.3236 0.3236 0.6764
# Fermi-level density of states ... 0.1561 states/eV/atom
# Symmetry ... Fmm2, No. 42
# Total magnetization ... 0.000 μB/f.u.
# Raw formation energy ... -1.7 kcal/mol of atoms

***

# 8
# Tc3P PBEsol relaxed
data_Tc3P
_chemical_formula_sum 'Tc3 P1'
_cell_length_a 2.8292
_cell_length_b 3.9047
_cell_length_c 4.8705
_cell_angle_alpha 90.00
_cell_angle_beta 90.00
_cell_angle_gamma 90.00
_space_group_name_H-M_alt 'P 1'
_space_group_IT_number 1
loop_
_space_group_symop_operation_xyz
'x,y,z'
loop_
_atom_site_label
_atom_site_type_symbol
_atom_site_fract_x
_atom_site_fract_y
_atom_site_fract_z
Tc1 Tc 0.0000 0.0000 0.0000
Tc2 Tc 0.5000 0.5000 0.2565
Tc3 Tc 0.5000 0.5000 0.7435
P1 P 0.0000 0.0000 0.5000
# Fermi-level density of states ... 0.7086 states/eV/atom
# Symmetry ... Pmmm, No. 47
# Excess energy over the best structure of this formula in the dataset ... 0.321 eV/atom
# ΔE_f ... -26 kJ/mol of formula units
# Total magnetization ... 0.000 μB/f.u.

***

# 9
# ScHSCl2 PBEsol relaxed
data_ScHSCl2
_chemical_formula_sum 'Sc1 H1 S1 Cl2'
_cell_length_a 4.9356
_cell_length_b 4.9356
_cell_length_c 4.9537
_cell_angle_alpha 90.00
_cell_angle_beta 90.00
_cell_angle_gamma 90.00
_space_group_name_H-M_alt 'P 1'
_space_group_IT_number 1
loop_
_space_group_symop_operation_xyz
'x,y,z'
loop_
_atom_site_label
_atom_site_type_symbol
_atom_site_fract_x
_atom_site_fract_y
_atom_site_fract_z
Sc1 Sc 0.0000 0.0000 0.0000
H1 H 0.5000 0.5000 0.5000
S1 S 0.0000 0.0000 0.5000
Cl1 Cl 0.0000 0.5000 0.0000
Cl2 Cl 0.5000 0.0000 0.0000
# Fermi-level density of states ... 0.9010 states/eV/atom
# Symmetry ... P4/mmm, No. 123
# Excess energy over the best structure of this formula in the dataset ... 0.000 eV/atom
# Total magnetization ... 1.932 μB/f.u.

***

# 10
# Rb3InBr6 PBEsol relaxed
data_Rb3InBr6
_chemical_formula_sum 'Rb3 In1 Br6'
_cell_length_a 8.2127
_cell_length_b 8.2127
_cell_length_c 8.2127
_cell_angle_alpha 60.00
_cell_angle_beta 60.00
_cell_angle_gamma 60.00
_space_group_name_H-M_alt 'P 1'
_space_group_IT_number 1
loop_
_space_group_symop_operation_xyz
'x,y,z'
loop_
_atom_site_label
_atom_site_type_symbol
_atom_site_fract_x
_atom_site_fract_y
_atom_site_fract_z
Rb1 Rb 0.0000 0.0000 0.0000
Rb2 Rb 0.2500 0.2500 0.2500
Rb3 Rb 0.7500 0.7500 0.7500
In1 In 0.5000 0.5000 0.5000
Br1 Br 0.2710 0.2710 0.7290
Br2 Br 0.2710 0.7290 0.2710
Br3 Br 0.2710 0.7290 0.7290
Br4 Br 0.7290 0.2710 0.2710
Br5 Br 0.7290 0.2710 0.7290
Br6 Br 0.7290 0.7290 0.2710
# Fermi-level density of states ... 0.0000 states/eV/atom
# Symmetry ... Fm-3m, No. 225
# Total magnetization ... 0.000 μB/f.u.
# Raw formation energy ... -30.7 kcal/mol of atoms

***

# 11
# RbTiGa2C PBEsol relaxed
data_RbTiGa2C
_chemical_formula_sum 'Rb1 Ti1 Ga2 C1'
_cell_length_a 4.8976
_cell_length_b 4.8976
_cell_length_c 4.1883
_cell_angle_alpha 90.00
_cell_angle_beta 90.00
_cell_angle_gamma 90.00
_space_group_name_H-M_alt 'P 1'
_space_group_IT_number 1
loop_
_space_group_symop_operation_xyz
'x,y,z'
loop_
_atom_site_label
_atom_site_type_symbol
_atom_site_fract_x
_atom_site_fract_y
_atom_site_fract_z
Rb1 Rb 0.0000 0.0000 0.0000
Ti1 Ti 0.5000 0.5000 0.0000
Ga1 Ga 0.0000 0.5000 0.5000
Ga2 Ga 0.5000 0.0000 0.5000
C1 C 0.5000 0.5000 0.5000
# Fermi-level density of states ... 0.8502 states/eV/atom
# Symmetry ... P4/mmm, No. 123
# ΔE_f ... 386 kJ/mol of formula units
# Total magnetization ... 0.703 μB/f.u.

***

# 12
# SrCr3S PBEsol relaxed
data_SrCr3S
_chemical_formula_sum 'Sr1 Cr3 S1'
_cell_length_a 4.4015
_cell_length_b 4.4015
_cell_length_c 4.4015
_cell_angle_alpha 90.00
_cell_angle_beta 90.00
_cell_angle_gamma 90.00
_space_group_name_H-M_alt 'P 1'
_space_group_IT_number 1
loop_
_space_group_symop_operation_xyz
'x,y,z'
loop_
_atom_site_label
_atom_site_type_symbol
_atom_site_fract_x
_atom_site_fract_y
_atom_site_fract_z
Sr1 Sr 0.0000 0.0000 0.0000
Cr1 Cr 0.0000 0.5000 0.5000
Cr2 Cr 0.5000 0.0000 0.5000
Cr3 Cr 0.5000 0.5000 0.0000
S1 S 0.5000 0.5000 0.5000
# Fermi-level density of states ... 0.5467 states/eV/atom
# Symmetry ... Pm-3m, No. 221
# Excess energy over the best structure of this formula in the dataset ... 0.000 eV/atom
# Total magnetization ... 6.233 μB/f.u.
# Raw formation energy ... 11.6 kcal/mol of atoms

***

Copy entry 1 word for word.
# AlSbRh4 PBEsol relaxed
data_AlSbRh4
_chemical_formula_sum 'Al1 Sb1 Rh4'
_cell_length_a 5.1251
_cell_length_b 5.1251
_cell_length_c 5.1251
_cell_angle_alpha 60.00
_cell_angle_beta 60.00
_cell_angle_gamma 60.00
_space_group_name_H-M_alt 'P 1'
_space_group_IT_number 1
loop_
_space_group_symop_operation_xyz
'x,y,z'
loop_
_atom_site_label
_atom_site_type_symbol
_atom_site_fract_x
_atom_site_fract_y
_atom_site_fract_z
Al1 Al 0.0000 0.0000 0.0000
Sb1 Sb 0.2500 0.2500 0.2500
Rh1 Rh 0.1246 0.6251 0.6251
Rh2 Rh 0.6251 0.1246 0.6251
Rh3 Rh 0.6251 0.6251 0.1246
Rh4 Rh 0.6251 0.6251 0.6251
# Fermi-level density of states ... 0.7120 states/eV/atom
# Symmetry ... F-43m, No. 216
# Total magnetization ... 0.001 μB/f.u.
# Raw formation energy ... 1.0 kcal/mol of atoms